[1]
Computed, not measured: a geometry-optimized TeIr2 structure at the PBE level of DFT.

Unit cell a=7.213 b=7.213 c=3.492 alpha=90.00 beta=90.00 gamma=120.00
Sites, in units of the cell vectors:
Ir1 0.698 0.698 0.000
Ir2 0.302 0.000 0.000
Ir3 0.000 0.642 0.500
Ir4 0.358 0.358 0.500
Ir5 0.000 0.302 0.000
Ir6 0.642 0.000 0.500
Te1 0.667 0.333 0.000
Te2 0.000 0.000 0.500
Te3 0.333 0.667 0.000

- symmetry = P-62m, No. 189
- energy relative to the lowest polymorph listed for this composition (meV per atom) = 490.5
- raw formation energy (eV/atom) = 0.497
- crystal system = hexagonal

[2]
Computed, not measured: a geometry-optimized AcSn2Hg2 structure at the PBE level of DFT.

Unit cell a=5.219 b=5.219 c=6.989 alpha=61.82 beta=61.82 gamma=83.57
Sites, in units of the cell vectors:
Sn1 0.783 0.217 0.500
Sn2 0.217 0.783 0.500
Hg1 0.442 0.442 0.234
Hg2 0.558 0.558 0.766
Ac1 0.000 0.000 0.000

- symmetry = C2/m, No. 12
- energy relative to the lowest polymorph listed for this composition (meV per atom) = 15.5
- crystal system = monoclinic
- DFT formation energy (meV per atom) = -288

[3]
Computed, not measured: a geometry-optimized RbNa7Cd2 structure at the PBE level of DFT.

Unit cell a=6.083 b=8.873 c=8.873 alpha=112.32 beta=90.00 gamma=90.00
Sites, in units of the cell vectors:
Na1 0.000 0.661 0.339
Na2 0.500 0.665 0.923
Na3 0.500 0.335 0.077
Na4 0.500 0.500 0.500
Na5 0.500 0.923 0.665
Na6 0.500 0.077 0.335
Na7 0.000 0.339 0.661
Rb1 0.000 0.000 0.000
Cd1 0.500 0.286 0.714
Cd2 0.500 0.714 0.286

- symmetry = Cmmm, No. 65
- crystal system = orthorhombic
- DFT formation energy (meV per atom) = 76

[4]
Computed, not measured: a geometry-optimized Tl8CdAu2 structure at the PBE level of DFT.

Unit cell a=5.828 b=8.231 c=8.231 alpha=66.94 beta=72.11 gamma=72.11
Sites, in units of the cell vectors:
Au1 0.119 0.780 0.780
Au2 0.881 0.220 0.220
Tl1 0.935 0.587 0.184
Tl2 0.065 0.413 0.816
Tl3 0.560 0.859 0.859
Tl4 0.403 0.399 0.399
Tl5 0.597 0.601 0.601
Tl6 0.440 0.141 0.141
Tl7 0.065 0.816 0.413
Tl8 0.935 0.184 0.587
Cd1 0.000 0.000 0.000

- symmetry = C2/m, No. 12
- crystal system = monoclinic
- DFT formation energy (meV per atom) = 48

Result set for DOS(E_F): 5.3 2.3 5.6 4.7 states/eV per cell, one per record in the order listed.
Result set for magnetic moment: 0.0 0.0 0.0 0.0 μB per formula unit, one per record in the order listed.